Below is CrFe2Mo after structural relaxation, with properties calculated at the PBE level.

```
CrFe2Mo
1.0
-3.071 -1.778 3.311
-4.017 -2.657 0.598
0.668 -3.853 1.015
Cr Fe Mo
1 2 1
direct
0.250 0.250 0.250
0.996 0.996 0.004
0.504 0.504 0.496
0.750 0.750 0.750
```

Values from the calculation:
The polymorph energy (0 for the lowest one) comes out at 0.0150 eV per atom. The calculation puts the formation energy at 0.443 eV per formula unit. Its space group is Immm.



Below is MgMn2Br after structural relaxation, with properties calculated at the PBE level.

```
MgMn2Br
1.0
-5.244 -1.678 0.485
-2.633 -1.734 -4.540
4.830 -0.936 2.520
Br Mg Mn
1 1 2
direct
0.500 0.500 0.000
0.750 0.250 0.500
0.000 0.000 0.000
0.250 0.750 0.500
```

Values from the calculation:
The polymorph energy (0 for the lowest one) comes out at 0.2775 eV per atom. Its space group is I-4m2. The uncorrected formation energy comes out at 0.50 eV per atom.



Below is V2Co2Re after structural relaxation, with properties calculated at the PBE level.

```
V2Co2Re
1.0
-0.300 0.304 3.245
-1.674 -2.811 0.109
4.287 -4.364 2.457
Re Co V
1 2 2
direct
0.000 0.000 0.000
0.750 0.250 0.500
0.250 0.750 0.500
0.393 0.393 0.215
0.607 0.607 0.785
```

Values from the calculation:
The polymorph energy (0 for the lowest one) comes out at 0.3801 eV per atom. The calculation puts the formation energy at 1.631 eV per formula unit. Its space group is I4/mmm.



Below is In2NiPd3 after structural relaxation, with properties calculated at the PBE level.

```
In2NiPd3
1.0
-3.936 2.756 2.869
-2.614 1.262 -4.797
-0.283 -7.583 1.437
In Ni Pd
4 2 6
direct
0.393 0.144 0.287
0.607 0.856 0.713
0.106 0.356 0.713
0.894 0.644 0.287
0.000 0.250 0.000
0.000 0.750 0.000
0.389 0.652 0.304
0.611 0.348 0.696
0.085 0.848 0.696
0.915 0.152 0.304
0.500 0.750 0.000
0.500 0.250 0.000
```

Values from the calculation:
The calculation puts the formation energy at -1.738 eV per formula unit. Its space group is Ibam.



Q: Number 1 is which compound?
A: CrFe2Mo